# PBE Sr2Li2TeO6, relaxed
data_Sr2Li2TeO6
_chemical_formula_sum 'Sr2 Li2 Te1 O6'
_cell_length_a 5.399
_cell_length_b 5.399
_cell_length_c 5.545
_cell_angle_alpha 90.00
_cell_angle_beta 90.00
_cell_angle_gamma 120.00
_symmetry_space_group_name_H-M 'P 1'
_symmetry_Int_Tables_number 1
_symmetry_space_group_name_Hall 'P 1'
loop_
_atom_site_label
_atom_site_fract_x
_atom_site_fract_y
_atom_site_fract_z
Sr1 0.333 0.667 0.000
Sr2 0.667 0.333 0.000
Li1 0.333 0.667 0.500
Li2 0.667 0.333 0.500
Te1 0.000 0.000 0.500
O1 0.000 0.303 0.299
O2 0.000 0.697 0.701
O3 0.303 0.000 0.299
O4 0.303 0.303 0.701
O5 0.697 0.000 0.701
O6 0.697 0.697 0.299
# - Formation energy (no corrections): -1.947 eV/atom
# - DFT total energy: -5.59 eV/atom

---

# PBE Cs3Th2MgTe6, relaxed
data_Cs3Th2MgTe6
_chemical_formula_sum 'Cs3 Th2 Mg1 Te6'
_cell_length_a 7.959
_cell_length_b 7.959
_cell_length_c 9.313
_cell_angle_alpha 98.21
_cell_angle_beta 98.21
_cell_angle_gamma 120.02
_symmetry_space_group_name_H-M 'P 1'
_symmetry_Int_Tables_number 1
_symmetry_space_group_name_Hall 'P 1'
loop_
_atom_site_label
_atom_site_fract_x
_atom_site_fract_y
_atom_site_fract_z
Cs1 0.000 0.000 0.000
Cs2 0.332 0.668 0.000
Cs3 0.668 0.332 0.000
Th1 0.166 0.834 0.500
Th2 0.834 0.166 0.500
Mg1 0.500 0.500 0.500
Te1 0.112 0.437 0.310
Te2 0.238 0.238 0.690
Te3 0.437 0.112 0.310
Te4 0.563 0.888 0.690
Te5 0.762 0.762 0.310
Te6 0.888 0.563 0.690
# - Formation energy (no corrections): -1.129 eV/atom
# - DFT total energy: -4.28 eV/atom